## Tl5Hg2Cl5 (PBE)

Data for a relaxed structure of Tl5Hg2Cl5.

Cell: 8.829 8.829 8.829 Å, 101.34 101.34 127.35°
Fractional coordinates of all 12 atoms:
Tl 0.000 0.000 0.000
Tl 0.170 0.425 0.745
Tl 0.425 0.170 0.745
Tl 0.425 0.680 0.255
Tl 0.680 0.425 0.255
Hg 0.184 0.684 0.500
Hg 0.684 0.184 0.500
Cl 0.357 0.357 0.365
Cl 0.357 0.992 0.000
Cl 0.566 0.566 0.000
Cl 0.992 0.357 0.000
Cl 0.992 0.992 0.635

Summary:
Its symmetry is No. 107. The uncorrected formation energy comes out at -0.75 eV/atom. The total energy comes out at -2.560 eV/atom.


## Ba4YAs (PBE)

Data for a relaxed structure of Ba4YAs.

Cell: 7.254 7.254 7.254 Å, 60.00 60.00 60.00°
Fractional coordinates of all 6 atoms:
Ba 0.376 0.376 0.376
Ba 0.376 0.376 0.872
Ba 0.376 0.872 0.376
Ba 0.872 0.376 0.376
Y 0.000 0.000 0.000
As 0.750 0.750 0.750

Summary:
Its symmetry is No. 216. The total energy comes out at -2.681 eV/atom.


## DyTmPdPb (PBE)

Data for a relaxed structure of DyTmPdPb.

Cell: 5.179 5.179 5.179 Å, 60.00 60.00 60.00°
Fractional coordinates of all 4 atoms:
Dy 0.000 0.000 0.000
Tm 0.500 0.500 0.500
Pd 0.750 0.750 0.750
Pb 0.250 0.250 0.250

Summary:
Its symmetry is No. 216. The total energy comes out at -5.109 eV/atom.


## BaTe3 (PBE)

Data for a relaxed structure of BaTe3.

Cell: 5.624 5.624 6.775 Å, 90.00 90.00 120.00°
Fractional coordinates of all 4 atoms:
Ba 0.000 0.000 0.000
Te 0.000 0.000 0.500
Te 0.667 0.333 0.210
Te 0.667 0.333 0.790

Summary:
Its symmetry is No. 187. The uncorrected formation energy comes out at -0.54 eV/atom. The total energy comes out at -3.372 eV/atom.


## Li2CeErTl4 (PBE)

Data for a relaxed structure of Li2CeErTl4.

Cell: 9.090 9.090 9.090 Å, 33.35 33.35 33.35°
Fractional coordinates of all 8 atoms:
Li 0.248 0.248 0.248
Li 0.752 0.752 0.752
Ce 0.000 0.000 0.000
Er 0.500 0.500 0.500
Tl 0.127 0.127 0.127
Tl 0.378 0.378 0.378
Tl 0.622 0.622 0.622
Tl 0.873 0.873 0.873

Summary:
Its symmetry is No. 166. The total energy comes out at -3.251 eV/atom.


## Hf3B7W (PBE)

Data for a relaxed structure of Hf3B7W.

Cell: 7.698 7.698 9.191 Å, 90.00 90.00 155.27°
Fractional coordinates of all 22 atoms:
Hf 0.109 0.891 0.554
Hf 0.109 0.891 0.946
Hf 0.249 0.751 0.250
Hf 0.751 0.249 0.750
Hf 0.891 0.109 0.054
Hf 0.891 0.109 0.446
B 0.272 0.728 0.533
B 0.272 0.728 0.967
B 0.363 0.637 0.650
B 0.363 0.637 0.850
B 0.436 0.564 0.250
B 0.485 0.515 0.589
B 0.485 0.515 0.911
B 0.515 0.485 0.089
B 0.515 0.485 0.411
B 0.564 0.436 0.750
B 0.637 0.363 0.150
B 0.637 0.363 0.350
B 0.728 0.272 0.033
B 0.728 0.272 0.467
W 0.047 0.953 0.250
W 0.953 0.047 0.750

Summary:
Its symmetry is No. 63. The total energy comes out at -8.923 eV/atom.


## NdGa7Ag5 (PBE)

Data for a relaxed structure of NdGa7Ag5.

Cell: 7.147 7.147 7.147 Å, 133.02 96.41 101.90°
Fractional coordinates of all 13 atoms:
Nd 0.000 0.000 0.000
Ga 0.184 0.494 0.690
Ga 0.225 0.725 0.500
Ga 0.353 0.002 0.351
Ga 0.359 0.359 0.000
Ga 0.647 0.647 0.000
Ga 0.650 0.002 0.649
Ga 0.804 0.494 0.310
Ag 0.003 0.498 0.007
Ag 0.003 0.996 0.506
Ag 0.490 0.498 0.494
Ag 0.490 0.996 0.993
Ag 0.770 0.270 0.500

Summary:
Its symmetry is No. 44. The total energy comes out at -3.259 eV/atom.


## K3GdP2O8 (PBE)

Data for a relaxed structure of K3GdP2O8.

Cell: 7.540 5.724 9.539 Å, 90.00 91.14 90.00°
Fractional coordinates of all 28 atoms:
K 0.004 0.250 0.192
K 0.141 0.750 0.412
K 0.296 0.250 0.917
K 0.704 0.750 0.083
K 0.859 0.250 0.588
K 0.996 0.750 0.808
Gd 0.494 0.750 0.711
Gd 0.506 0.250 0.289
P 0.271 0.750 0.089
P 0.313 0.250 0.572
P 0.687 0.750 0.428
P 0.729 0.250 0.911
O 0.067 0.750 0.103
O 0.215 0.250 0.426
O 0.263 0.028 0.658
O 0.263 0.472 0.658
O 0.326 0.750 0.932
O 0.349 0.528 0.163
O 0.349 0.972 0.163
O 0.486 0.750 0.460
O 0.514 0.250 0.540
O 0.651 0.028 0.837
O 0.651 0.472 0.837
O 0.674 0.250 0.068
O 0.737 0.528 0.342
O 0.737 0.972 0.342
O 0.785 0.750 0.574
O 0.933 0.250 0.897

Summary:
Its symmetry is No. 11. The uncorrected formation energy comes out at -2.58 eV/atom. The total energy comes out at -7.422 eV/atom.